Record 1
A plane-wave DFT calculation with PBE was carried out for a geometry-optimized Cu2PAu structure.

abc: 2.889 2.889 6.787
angles: 90.00 90.00 90.00
Positions (direct):
Cu1 0.000 0.000 0.218
Cu2 0.000 0.000 0.782
P1 0.500 0.500 0.000
Au1 0.500 0.500 0.500

Output
formation enthalpy at 0 K: 0.103 eV/atom


Record 2
A plane-wave DFT calculation with PBE was carried out for a geometry-optimized PmTc4P4 structure.

abc: 5.964 5.964 7.885
angles: 90.00 90.00 90.00
Positions (direct):
Pm1 0.250 0.750 0.250
Pm2 0.750 0.250 0.750
Tc1 0.002 0.250 0.123
Tc2 0.250 0.002 0.623
Tc3 0.250 0.498 0.623
Tc4 0.498 0.250 0.123
Tc5 0.502 0.750 0.877
Tc6 0.750 0.502 0.377
Tc7 0.750 0.998 0.377
Tc8 0.998 0.750 0.877
P1 0.052 0.250 0.421
P2 0.250 0.052 0.921
P3 0.250 0.448 0.921
P4 0.448 0.250 0.421
P5 0.552 0.750 0.579
P6 0.750 0.552 0.079
P7 0.750 0.948 0.079
P8 0.948 0.750 0.579

Output
formation enthalpy at 0 K: -0.602 eV/atom


Record 3
A plane-wave DFT calculation with PBE was carried out for a geometry-optimized K2InTe3 structure.

abc: 8.264 8.264 11.686
angles: 90.00 90.00 120.00
Positions (direct):
K1 0.000 0.000 0.000
K2 0.000 0.000 0.500
K3 0.333 0.667 0.248
K4 0.667 0.333 0.752
In1 0.333 0.667 0.750
In2 0.667 0.333 0.250
Te1 0.143 0.287 0.750
Te2 0.143 0.857 0.750
Te3 0.287 0.143 0.250
Te4 0.713 0.857 0.750
Te5 0.857 0.143 0.250
Te6 0.857 0.713 0.250

Output
formation energy (no corrections): -48.0 kJ/mol of atoms


Record 4
A plane-wave DFT calculation with PBE was carried out for a geometry-optimized RbTl2As structure.

abc: 7.332 7.332 7.332
angles: 102.78 102.78 123.89
Positions (direct):
Rb1 0.000 0.000 0.000
Rb2 0.750 0.250 0.500
Tl1 0.197 0.625 0.072
Tl2 0.375 0.447 0.572
Tl3 0.553 0.125 0.928
Tl4 0.875 0.803 0.428
As1 0.250 0.750 0.500
As2 0.500 0.500 0.000

Output
formation enthalpy at 0 K: -0.109 eV/atom


Record 5
A plane-wave DFT calculation with PBE was carried out for a geometry-optimized K4RbF5 structure.

abc: 6.709 6.709 9.491
angles: 118.14 118.14 33.56
Positions (direct):
K1 0.100 0.100 0.403
K2 0.300 0.300 0.203
K3 0.700 0.700 0.797
K4 0.900 0.900 0.597
Rb1 0.500 0.500 0.000
F1 0.105 0.105 0.894
F2 0.298 0.298 0.693
F3 0.500 0.500 0.500
F4 0.702 0.702 0.307
F5 0.895 0.895 0.106

Output
formation energy (no corrections): -261.7 kJ/mol of atoms


Record 6
A plane-wave DFT calculation with PBE was carried out for a geometry-optimized Pm2HfAg structure.

abc: 3.478 3.478 8.848
angles: 90.00 90.00 90.00
Positions (direct):
Pm1 0.000 0.000 0.240
Pm2 0.000 0.000 0.760
Hf1 0.500 0.500 0.500
Ag1 0.500 0.500 0.000

Output
formation enthalpy at 0 K: -0.025 eV/atom
relative energy among the computed polymorphs: 0 meV per atom


Record 7
A plane-wave DFT calculation with PBE was carried out for a geometry-optimized PmTm2Al6 structure.

abc: 7.920 7.920 3.471
angles: 90.00 90.00 120.00
Positions (direct):
Pm1 0.000 0.000 0.000
Tm1 0.333 0.667 0.000
Tm2 0.667 0.333 0.000
Al1 0.000 0.336 0.500
Al2 0.000 0.664 0.500
Al3 0.336 0.000 0.500
Al4 0.336 0.336 0.500
Al5 0.664 0.000 0.500
Al6 0.664 0.664 0.500

Output
formation enthalpy at 0 K: -0.476 eV/atom


Record 8
A plane-wave DFT calculation with PBE was carried out for a geometry-optimized NpAlCoRu structure.

abc: 4.477 4.477 4.477
angles: 60.00 60.00 60.00
Positions (direct):
Np1 0.000 0.000 0.000
Al1 0.500 0.500 0.500
Co1 0.250 0.250 0.250
Ru1 0.750 0.750 0.750

Output
formation enthalpy at 0 K: -0.216 eV/atom


Record 9
A plane-wave DFT calculation with PBE was carried out for a geometry-optimized PmY3Hg structure.

abc: 6.777 6.777 7.938
angles: 106.93 106.93 66.31
Positions (direct):
Pm1 0.062 0.062 0.234
Pm2 0.938 0.938 0.766
Y1 0.090 0.591 0.358
Y2 0.409 0.910 0.642
Y3 0.438 0.438 0.758
Y4 0.562 0.562 0.242
Y5 0.591 0.090 0.358
Y6 0.910 0.409 0.642
Hg1 0.259 0.259 0.000
Hg2 0.741 0.741 0.000

Output
formation enthalpy at 0 K: -0.113 eV/atom


Record 10
A plane-wave DFT calculation with PBE was carried out for a geometry-optimized Sr2TeCl structure.

abc: 8.838 8.838 8.838
angles: 133.00 133.00 68.65
Positions (direct):
Sr1 0.102 0.625 0.977
Sr2 0.375 0.352 0.477
Sr3 0.648 0.125 0.023
Sr4 0.875 0.898 0.523
Te1 0.250 0.750 0.500
Te2 0.500 0.500 0.000
Cl1 0.000 0.000 0.000
Cl2 0.750 0.250 0.500

Output
relative energy among the computed polymorphs: 183 meV per atom
formation energy (no corrections): -142.2 kJ/mol of atoms


Record 11
A plane-wave DFT calculation with PBE was carried out for a geometry-optimized LiYAgCl5 structure.

abc: 7.361 7.361 9.830
angles: 101.22 101.22 118.35
Positions (direct):
Li1 0.217 0.783 0.750
Li2 0.783 0.217 0.250
Y1 0.500 0.500 0.000
Y2 0.500 0.500 0.500
Ag1 0.070 0.930 0.250
Ag2 0.930 0.070 0.750
Cl1 0.071 0.254 0.445
Cl2 0.152 0.495 0.855
Cl3 0.254 0.071 0.945
Cl4 0.416 0.584 0.250
Cl5 0.495 0.152 0.355
Cl6 0.505 0.848 0.645
Cl7 0.584 0.416 0.750
Cl8 0.746 0.929 0.055
Cl9 0.848 0.505 0.145
Cl10 0.929 0.746 0.555

Output
formation energy (no corrections): -162.5 kJ/mol of atoms


Record 12
A plane-wave DFT calculation with PBE was carried out for a geometry-optimized BaMg2Se3 structure.

abc: 4.285 13.734 5.522
angles: 90.00 90.00 90.00
Positions (direct):
Ba1 0.250 0.250 0.250
Ba2 0.750 0.750 0.750
Mg1 0.250 0.560 0.249
Mg2 0.250 0.940 0.249
Mg3 0.750 0.060 0.751
Mg4 0.750 0.440 0.751
Se1 0.250 0.553 0.750
Se2 0.250 0.750 0.249
Se3 0.250 0.947 0.750
Se4 0.750 0.053 0.250
Se5 0.750 0.250 0.751
Se6 0.750 0.447 0.250

Output
formation energy (no corrections): -143.4 kJ/mol of atoms


Record 13
A plane-wave DFT calculation with PBE was carried out for a geometry-optimized ErTmSiPd structure.

abc: 4.919 4.919 4.919
angles: 60.00 60.00 60.00
Positions (direct):
Er1 0.000 0.000 0.000
Tm1 0.500 0.500 0.500
Si1 0.250 0.250 0.250
Pd1 0.750 0.750 0.750

Output
relative energy among the computed polymorphs: 108 meV per atom
formation energy (no corrections): -72.4 kJ/mol of atoms


Record 14
A plane-wave DFT calculation with PBE was carried out for a geometry-optimized Al2CdCo2 structure.

abc: 7.004 7.004 2.828
angles: 90.00 90.00 90.00
Positions (direct):
Al1 0.146 0.354 0.000
Al2 0.354 0.854 0.000
Al3 0.646 0.146 0.000
Al4 0.854 0.646 0.000
Cd1 0.000 0.000 0.500
Cd2 0.500 0.500 0.500
Co1 0.146 0.646 0.500
Co2 0.354 0.146 0.500
Co3 0.646 0.854 0.500
Co4 0.854 0.354 0.500

Output
formation enthalpy at 0 K: -0.226 eV/atom
relative energy among the computed polymorphs: 0 meV per atom


Record 15
A plane-wave DFT calculation with PBE was carried out for a geometry-optimized Li2CoIr structure.

abc: 2.638 2.638 9.120
angles: 90.00 90.00 116.18
Positions (direct):
Li1 0.000 0.000 0.000
Li2 0.500 0.500 0.293
Co1 0.500 0.500 0.764
Ir1 0.000 0.000 0.532

Output
formation enthalpy at 0 K: 0.113 eV/atom
relative energy among the computed polymorphs: 179 meV per atom


Record 16
A plane-wave DFT calculation with PBE was carried out for a geometry-optimized Ta4SeCl2 structure.

abc: 7.147 7.147 7.147
angles: 141.26 141.26 55.95
Positions (direct):
Ta1 0.000 0.500 0.500
Ta2 0.207 0.207 0.000
Ta3 0.500 0.000 0.500
Ta4 0.793 0.793 0.000
Se1 0.000 0.000 0.000
Cl1 0.394 0.394 0.000
Cl2 0.606 0.606 0.000

Output
formation energy (no corrections): 110.0 kJ/mol of atoms


Record 17
A plane-wave DFT calculation with PBE was carried out for a geometry-optimized CrCoS2 structure.

abc: 3.706 3.707 5.685
angles: 90.00 90.12 90.00
Positions (direct):
Cr1 0.000 0.000 0.000
Co1 0.500 0.500 0.000
S1 0.001 0.500 0.220
S2 0.499 0.000 0.780

Output
relative energy among the computed polymorphs: 0 meV per atom
formation energy (no corrections): -54.8 kJ/mol of atoms


Record 18
A plane-wave DFT calculation with PBE was carried out for a geometry-optimized PbClF structure.

abc: 5.794 5.794 6.931
angles: 109.21 109.21 43.50
Positions (direct):
Pb1 0.174 0.174 0.236
Pb2 0.826 0.826 0.764
Cl1 0.406 0.406 0.153
Cl2 0.594 0.594 0.847
F1 0.241 0.241 0.610
F2 0.759 0.759 0.390

Output
formation energy (no corrections): -169.4 kJ/mol of atoms


Record 19
A plane-wave DFT calculation with PBE was carried out for a geometry-optimized NdPuC structure.

abc: 3.238 3.807 4.976
angles: 90.00 90.00 90.00
Positions (direct):
Nd1 0.000 0.000 0.000
Pu1 0.000 0.500 0.500
C1 0.500 0.000 0.500

Output
formation enthalpy at 0 K: 0.369 eV/atom
relative energy among the computed polymorphs: 349 meV per atom


Record 20
A plane-wave DFT calculation with PBE was carried out for a geometry-optimized YNi2Mo structure.

abc: 8.544 8.544 8.544
angles: 149.31 149.31 43.96
Positions (direct):
Y1 0.000 0.000 0.000
Y2 0.750 0.250 0.500
Ni1 0.285 0.625 0.160
Ni2 0.375 0.535 0.660
Ni3 0.465 0.125 0.840
Ni4 0.875 0.715 0.340
Mo1 0.250 0.750 0.500
Mo2 0.500 0.500 0.000

Output
formation enthalpy at 0 K: 0.531 eV/atom
relative energy among the computed polymorphs: 625 meV per atom


Short version: N(E_F) = 0.29, 0.67, 0.55, 0.00, 0.00, 0.95, 0.20, 1.10, 1.19, 0.60, 0.00, 0.00, 0.37, 0.68, 0.84, 1.00, 0.33, 0.00, 2.28, 1.37 states/eV per atom, in the order given.